Compound: Ba2CdCuO5
Source: Alexandria via LeMat-Bulk
Functional: GGA-PBE
Structure: relaxed

uncorrected formation energy = -1.430 eV per atom
calculated total energy = -5.168 eV/atom

Cell lengths 3.6787, 14.0200, 11.2346 Å; angles 90.00, 90.00, 90.00 degrees
Space group Cmc2_1 (No. 36)
Asymmetric unit:
Ba (0.0000, 0.0967, 0.0000)
Ba (0.0000, 0.1569, 0.6413)
Cd (0.0000, 0.1905, 0.3435)
Cu (0.0000, 0.4811, 0.7584)
O (0.0000, 0.0290, 0.3040)
O (0.0000, 0.2827, 0.9634)
O (0.0000, 0.3482, 0.7072)
O (0.0000, 0.3890, 0.3151)
O (0.0000, 0.4740, 0.0879)

Compound: TmThTlSn
Source: Alexandria via LeMat-Bulk
Functional: GGA-PBE
Structure: relaxed

formation energy = -310 meV/atom
calculated total energy = -4.875 eV/atom

Cell lengths 7.6535, 7.6535, 7.6535 Å; angles 90.00, 90.00, 90.00 degrees
Space group F-43m (No. 216)
Asymmetric unit:
Tm (0.0000, 0.0000, 0.0000)
Th (0.0000, 0.0000, 0.5000)
Tl (0.2500, 0.2500, 0.2500)
Sn (0.2500, 0.2500, 0.7500)

Compound: Tm2BiF11
Source: Alexandria via LeMat-Bulk
Functional: GGA-PBE
Structure: relaxed

uncorrected formation energy = -3.098 eV per atom
calculated total energy = -5.484 eV/atom

Cell lengths 7.8622, 10.1433, 10.8708 Å; angles 90.00, 90.00, 90.00 degrees
Space group Ibam (No. 72)
Asymmetric unit:
Tm (0.1349, 0.1818, 0.0000)
Bi (0.0000, 0.5000, 0.2500)
F (0.0000, 0.0000, 0.0000)
F (0.0952, 0.3315, 0.1504)
F (0.1289, 0.2234, 0.5000)
F (0.2121, 0.4353, 0.3589)

Compound: FeTc
Source: Alexandria via LeMat-Bulk
Functional: GGA-PBE
Structure: relaxed

formation energy = 82 meV/atom
calculated total energy = -9.333 eV/atom

Cell lengths 3.0286, 4.1780, 8.3421 Å; angles 90.00, 90.00, 90.00 degrees
Space group Imma (No. 74)
Asymmetric unit:
Fe (0.0000, 0.2500, 0.1325)
Tc (0.0000, 0.2500, 0.6205)